Entry 1:
{"formula": "La4NiRu", "functional": "PBE", "state": "relaxed", "e_form_ev_per_fu": -1.17, "vol_a3_per_cell": 357.0, "polymorph_energy_ev_per_atom": 0.000, "magmom_total_mub_per_fu": 0.00, "spacegroup": "C2/c (15)", "e_tot_ha_per_atom": -0.220, "lattice_angstrom": [[7.773, -3.509, 0.000], [7.773, 3.509, 0.000], [-3.132, 0.000, 6.543]], "species": ["La", "La", "La", "La", "La", "La", "La", "La", "Ni", "Ni", "Ru", "Ru"], "fractional_positions": [[0.091, 0.142, 0.017], [0.142, 0.091, 0.517], [0.341, 0.401, 0.357], [0.401, 0.341, 0.857], [0.599, 0.659, 0.143], [0.659, 0.599, 0.643], [0.858, 0.909, 0.483], [0.909, 0.858, 0.983], [0.271, 0.729, 0.750], [0.729, 0.271, 0.250], [0.000, 0.500, 0.000], [0.500, 0.000, 0.500]]}

Entry 2:
{"formula": "Pr8Si3PdI4", "functional": "PBE", "state": "relaxed", "vol_a3_per_cell": 510.8, "magmom_total_mub_per_fu": 0.00, "spacegroup": "P-1 (2)", "raw_formation_energy_mev_per_atom": -917, "e_tot_ha_per_atom": -0.185, "lattice_angstrom": [[8.716, 0.000, 0.000], [4.357, 7.561, 0.000], [4.356, 2.522, 7.751]], "species": ["Pr", "Pr", "Pr", "Pr", "Pr", "Pr", "Pr", "Pr", "Si", "Si", "Si", "Pd", "I", "I", "I", "I"], "fractional_positions": [[0.230, 0.235, 0.300], [0.232, 0.734, 0.300], [0.267, 0.269, 0.699], [0.267, 0.766, 0.698], [0.733, 0.234, 0.302], [0.733, 0.731, 0.301], [0.768, 0.266, 0.700], [0.770, 0.765, 0.700], [0.000, 0.000, 0.500], [0.000, 0.500, 0.500], [0.500, 0.500, 0.500], [0.500, 0.000, 0.500], [0.000, 0.000, 0.000], [0.000, 0.500, 0.000], [0.500, 0.000, 0.000], [0.500, 0.500, 0.000]]}

Entry 3:
{"formula": "Dy3YRh2", "functional": "PBE", "state": "relaxed", "e_form_ev_per_fu": -3.93, "vol_a3_per_cell": 292.9, "polymorph_energy_ev_per_atom": 0.000, "magmom_total_mub_per_fu": 0.00, "spacegroup": "Pmc2_1 (26)", "e_tot_ha_per_atom": -0.238, "lattice_angstrom": [[4.708, 0.000, 0.000], [0.000, 8.683, 0.000], [0.000, 0.000, 7.165]], "species": ["Dy", "Dy", "Dy", "Dy", "Dy", "Dy", "Y", "Y", "Rh", "Rh", "Rh", "Rh"], "fractional_positions": [[0.000, 0.085, 0.000], [0.000, 0.332, 0.371], [0.000, 0.668, 0.871], [0.000, 0.915, 0.500], [0.500, 0.167, 0.653], [0.500, 0.833, 0.153], [0.500, 0.416, 0.024], [0.500, 0.584, 0.524], [0.000, 0.339, 0.768], [0.000, 0.661, 0.268], [0.500, 0.160, 0.257], [0.500, 0.840, 0.757]]}

Entry 4:
{"formula": "BaTc3Rh", "functional": "PBE", "state": "relaxed", "e_form_ev_per_fu": 7.16, "vol_a3_per_cell": 113.3, "polymorph_energy_ev_per_atom": 0.000, "magmom_total_mub_per_fu": 1.16, "spacegroup": "Pm-3m (221)", "e_tot_ha_per_atom": -0.244, "lattice_angstrom": [[4.838, 0.000, 0.000], [0.000, 4.838, 0.000], [0.000, 0.000, 4.838]], "species": ["Ba", "Tc", "Tc", "Tc", "Rh"], "fractional_positions": [[0.000, 0.000, 0.000], [0.000, 0.500, 0.500], [0.500, 0.000, 0.500], [0.500, 0.500, 0.000], [0.500, 0.500, 0.500]]}